Entry 1:
VASP calculation (PBE-GGA) on a geometry-optimized Ba2Na2US6 structure. Values from VASP.

Properties
**Formation energy (no corrections)**: -1517 meV per atom
**Spin magnetization**: 0.00 Bohr magnetons per cell
**SG**: C2/m

Structure (Quantum ESPRESSO input):
```
&SYSTEM
  ibrav = 0, nat = 11, ntyp = 4
/
ATOMIC_SPECIES
Ba 137.33 Ba.upf
Na 22.99 Na.upf
U 238.03 U.upf
S 32.06 S.upf
ATOMIC_POSITIONS crystal
Ba 0.164 0.836 0.000
Ba 0.836 0.164 0.000
Na 0.367 0.633 0.500
Na 0.633 0.367 0.500
U 0.500 0.500 0.000
S 0.170 0.453 0.788
S 0.281 0.281 0.219
S 0.453 0.170 0.788
S 0.547 0.830 0.212
S 0.719 0.719 0.781
S 0.830 0.547 0.212
CELL_PARAMETERS angstrom
3.886 -6.550 0.000
3.886 6.550 0.000
-1.832 0.000 6.864
```

Entry 2:
VASP calculation (PBE-GGA) on a geometry-optimized InGa2S3 structure. Values from VASP.

Properties
**DOS at the Fermi energy**: 0.19 states/eV/atom
**Formation energy (no corrections)**: -476 meV per atom
**Spin magnetization**: 0.00 Bohr magnetons per cell
**SG**: P2_1/m

Structure (Quantum ESPRESSO input):
```
&SYSTEM
  ibrav = 0, nat = 12, ntyp = 3
/
ATOMIC_SPECIES
In 114.82 In.upf
Ga 69.72 Ga.upf
S 32.06 S.upf
ATOMIC_POSITIONS crystal
In 0.008 0.250 0.170
In 0.992 0.750 0.830
Ga 0.334 0.250 0.914
Ga 0.380 0.750 0.410
Ga 0.620 0.250 0.590
Ga 0.666 0.750 0.086
S 0.062 0.750 0.322
S 0.400 0.750 0.604
S 0.405 0.250 0.108
S 0.595 0.750 0.892
S 0.600 0.250 0.396
S 0.938 0.250 0.678
CELL_PARAMETERS angstrom
6.388 0.000 0.000
0.000 3.713 0.000
-1.143 0.000 12.363
```

Entry 3:
VASP calculation (PBE-GGA) on a geometry-optimized CuRe3 structure. Values from VASP.

Properties
**DOS at the Fermi energy**: 0.98 states/eV/atom
**Spin magnetization**: 0.00 Bohr magnetons per cell
**Energy of formation**: 294 meV per atom
**SG**: Pm-3m

Structure (Quantum ESPRESSO input):
```
&SYSTEM
  ibrav = 0, nat = 4, ntyp = 2
/
ATOMIC_SPECIES
Cu 63.55 Cu.upf
Re 186.21 Re.upf
ATOMIC_POSITIONS crystal
Cu 0.000 0.000 0.000
Re 0.000 0.500 0.500
Re 0.500 0.000 0.500
Re 0.500 0.500 0.000
CELL_PARAMETERS angstrom
3.853 0.000 0.000
0.000 3.853 0.000
0.000 0.000 3.853
```